An optimized crystal structure of Cr2AsO2. Source: Alexandria via LeMat-Bulk, functional PBE+U.

Properties
* uncorrected energy: -0.250 hartree per atom
* offset from the most stable computed form: 0.0 kJ per mole of atoms

a b c (Å): 4.1958 4.1958 5.2250
angles (deg): 66.33 66.33 90.00
Site moments in Bohr magnetons follow the coordinates.
Positions (direct):
O  0.2577  0.2577  0.4845  -0.05
O  0.7423  0.7423  0.5155  -0.05
As  0.0000  0.0000  0.0000  -0.29
Cr  0.7500  0.2500  0.5000  3.67
Cr  0.2500  0.7500  0.5000  3.67